Record 1
A plane-wave DFT calculation with GGA-PBE was carried out for a geometry-optimized YEr3S6 structure.

a = 10.9611 Å, b = 3.9232 Å, c = 11.2293 Å
α = 90.00°, β = 108.77°, γ = 90.00°
Positions (direct):
Y  0.0446  0.2500  0.1912
Y  0.9554  0.7500  0.8088
Er  0.1606  0.2500  0.5844
Er  0.3180  0.7500  0.9972
Er  0.4341  0.2500  0.3318
Er  0.5659  0.7500  0.6682
Er  0.6820  0.2500  0.0028
Er  0.8394  0.7500  0.4156
S  0.0821  0.7500  0.4029
S  0.1124  0.2500  0.9631
S  0.1925  0.7500  0.7494
S  0.2566  0.7500  0.2241
S  0.3974  0.2500  0.5626
S  0.4774  0.2500  0.1127
S  0.5226  0.7500  0.8873
S  0.6026  0.7500  0.4374
S  0.7434  0.2500  0.7759
S  0.8075  0.2500  0.2506
S  0.8876  0.7500  0.0369
S  0.9179  0.2500  0.5971

---

Record 2
A plane-wave DFT calculation with GGA-PBE was carried out for a geometry-optimized Y4Er3S8 structure.

a = 7.7693 Å, b = 7.7693 Å, c = 7.7659 Å
α = 119.97°, β = 119.97°, γ = 90.01°
Positions (direct):
Y  0.0000  0.0000  0.0000
Y  0.0000  0.5000  0.0000
Y  0.5000  0.0000  0.0000
Y  0.5000  0.5000  0.5000
Er  0.0000  0.5000  0.5000
Er  0.5000  0.0000  0.5000
Er  0.5000  0.5000  0.0000
S  0.2481  0.7519  0.5000
S  0.2496  0.2496  0.5032
S  0.2498  0.2498  0.9964
S  0.2515  0.7485  0.0000
S  0.7485  0.2515  0.0000
S  0.7502  0.7502  0.0036
S  0.7504  0.7504  0.4968
S  0.7519  0.2481  0.5000

---

Record 3
A plane-wave DFT calculation with GGA-PBE was carried out for a geometry-optimized YErS structure.

a = 12.3380 Å, b = 3.7805 Å, c = 6.5919 Å
α = 90.00°, β = 90.00°, γ = 90.00°
Positions (direct):
Y  0.2483  0.2500  0.0787
Y  0.2517  0.7500  0.5787
Y  0.7483  0.2500  0.4213
Y  0.7517  0.7500  0.9213
Er  0.0049  0.2500  0.7585
Er  0.4951  0.7500  0.2585
Er  0.5049  0.2500  0.7415
Er  0.9951  0.7500  0.2415
S  0.1206  0.2500  0.4128
S  0.3794  0.7500  0.9128
S  0.6206  0.2500  0.0872
S  0.8794  0.7500  0.5872

---

Record 4
A plane-wave DFT calculation with GGA-PBE was carried out for a geometry-optimized YErS2 structure.

a = 6.5198 Å, b = 6.9742 Å, c = 3.7562 Å
α = 90.00°, β = 90.00°, γ = 90.00°
Positions (direct):
Y  0.0000  0.0000  0.0000
Y  0.5000  0.5000  0.5000
Er  0.0000  0.5000  0.0000
Er  0.5000  0.0000  0.5000
S  0.1668  0.2519  0.5000
S  0.3332  0.7519  0.0000
S  0.6668  0.2481  0.0000
S  0.8332  0.7481  0.5000

---

Short version: energy relative to the elements, uncorrected = -2073, -2042, -1271, -1868 meV per atom, in the order given.